No. 1
First-principles (PBE) data for crystalline Pm2CoCl at its relaxed geometry, as listed in Alexandria via LeMat-Bulk.

The energy above the most stable polymorph in this dataset is 0.162 eV per atom. The raw formation energy is -0.6752 eV per atom.

The space group is P4/mmm (No. 123) and the conventional cell measures 3.357, 3.357 and 8.012 Å, with angles of 90.00, 90.00 and 90.00 degrees. The distinct sites, in fractional coordinates, are Pm at (0.000, 0.000, 0.214), Co at (0.500, 0.500, 0.000) and Cl at (0.500, 0.500, 0.500).

No. 2
First-principles (PBE) data for crystalline PmCoCl at its relaxed geometry, as listed in Alexandria via LeMat-Bulk.

The energy above the most stable polymorph in this dataset is 0.000 eV per atom. The raw formation energy is -1.1359 eV per atom.

The space group is R-3m (No. 166, hexagonal axes) and the conventional cell measures 3.9579, 3.9579 and 32.9725 Å, with angles of 90.00, 90.00 and 120.00 degrees. The distinct sites, in fractional coordinates, are Pm at (0.0000, 0.0000, 0.0586), Co at (0.0000, 0.0000, 0.3352) and Cl at (0.0000, 0.0000, 0.2210).

No. 3
First-principles (PBE) data for crystalline Pm6Co3Cl2 at its relaxed geometry, as listed in Alexandria via LeMat-Bulk.

The raw formation energy is -0.5828 eV per atom.

The space group is C2/m (No. 12) and the conventional cell measures 6.834, 11.850 and 7.619 Å, with angles of 90.00, 107.51 and 90.00 degrees. The distinct sites, in fractional coordinates, are Pm at (0.233, 0.000, 0.202), Pm at (0.238, 0.334, 0.208), Co at (0.000, 0.173, 0.000), Co at (0.000, 0.500, 0.000) and Cl at (0.000, 0.335, 0.500).